1.
{"formula": "Dy5Y2Bi5", "functional": "PBE", "state": "optimized geometry", "sg": "C2/m", "e_form_ev_per_fu": -7.2, "energy_ev_per_atom": -5.21, "lattice_angstrom": [[4.4402, 0.0000, 0.0000], [-2.2201, 7.3005, -0.3585], [0.0000, -4.0967, 12.0756]], "species": ["Dy", "Dy", "Dy", "Dy", "Dy", "Y", "Y", "Bi", "Bi", "Bi", "Bi", "Bi"], "fractional_positions": [[0.5000, 0.0000, 0.5000], [0.6623, 0.3246, 0.0307], [0.7103, 0.4206, 0.3350], [0.2897, 0.5794, 0.6650], [0.3377, 0.6754, 0.9693], [0.0491, 0.0981, 0.7864], [0.9509, 0.9019, 0.2136], [0.1203, 0.2407, 0.4378], [0.6983, 0.3967, 0.7841], [0.3017, 0.6033, 0.2159], [0.8797, 0.7593, 0.5622], [0.0000, 0.0000, 0.0000]]}

***

2.
{"formula": "DyY2Bi3", "functional": "PBE", "state": "optimized geometry", "sg": "Immm", "e_form_ev_per_fu": -5.3, "energy_ev_per_atom": -5.75, "lattice_angstrom": [[4.4820, 0.0000, 0.0000], [0.0000, 6.3334, 0.0000], [-2.2410, -3.1667, 6.7228]], "species": ["Dy", "Y", "Y", "Bi", "Bi", "Bi"], "fractional_positions": [[0.5000, 0.5000, 0.5000], [0.8331, 0.8331, 0.1663], [0.1669, 0.1669, 0.8337], [0.8338, 0.3338, 0.1676], [0.1662, 0.6662, 0.8324], [0.5000, 0.0000, 0.5000]]}

***

3.
{"formula": "Dy3Y2Bi2", "functional": "PBE", "state": "optimized geometry", "sg": "C2/m", "e_form_ev_per_fu": -3.3, "energy_ev_per_atom": -5.40, "lattice_angstrom": [[-3.5784, 0.6063, 2.3674], [-0.7731, -5.1862, -3.8062], [4.2120, -2.6275, 7.0394]], "species": ["Dy", "Dy", "Dy", "Y", "Y", "Bi", "Bi"], "fractional_positions": [[0.5000, 0.0000, 0.0000], [0.6254, 0.2509, 0.4448], [0.3746, 0.7491, 0.5552], [0.8755, 0.7509, 0.2283], [0.1245, 0.2491, 0.7717], [0.8242, 0.6484, 0.8110], [0.1758, 0.3515, 0.1890]]}

***

4.
{"formula": "Dy4YBi3", "functional": "PBE", "state": "optimized geometry", "sg": "C2/m", "e_form_ev_per_fu": -4.8, "energy_ev_per_atom": -5.16, "lattice_angstrom": [[-2.2420, -3.8852, 0.5166], [8.1289, -5.1084, -3.1412], [0.7462, 2.9423, 5.6334]], "species": ["Dy", "Dy", "Dy", "Dy", "Y", "Bi", "Bi", "Bi"], "fractional_positions": [[0.8747, 0.5973, 0.7493], [0.1253, 0.4027, 0.2507], [0.6511, 0.8483, 0.3023], [0.3489, 0.1517, 0.6977], [0.0000, 0.0000, 0.0000], [0.3243, 0.7931, 0.6486], [0.6757, 0.2069, 0.3514], [0.5000, 0.5000, 0.0000]]}

***

5.
{"formula": "Dy2Y5Bi5", "functional": "PBE", "state": "optimized geometry", "sg": "C2/m", "e_form_ev_per_fu": -7.4, "energy_ev_per_atom": -5.70, "lattice_angstrom": [[4.4435, 0.0000, 0.0000], [-2.2217, 7.2973, -0.3386], [0.0000, -4.0581, 12.1248]], "species": ["Dy", "Dy", "Y", "Y", "Y", "Y", "Y", "Bi", "Bi", "Bi", "Bi", "Bi"], "fractional_positions": [[0.0493, 0.0986, 0.7877], [0.9507, 0.9014, 0.2123], [0.5000, 0.0000, 0.5000], [0.6621, 0.3242, 0.0318], [0.7142, 0.4284, 0.3382], [0.2858, 0.5716, 0.6618], [0.3379, 0.6758, 0.9682], [0.1189, 0.2378, 0.4346], [0.6975, 0.3950, 0.7849], [0.3025, 0.6050, 0.2151], [0.8811, 0.7622, 0.5654], [0.0000, 0.0000, 0.0000]]}

***

6.
{"formula": "DyYBi2", "functional": "PBE", "state": "optimized geometry", "sg": "C2/m", "polymorph_energy_mev_per_atom": 0, "e_form_ev_per_fu": -3.5, "energy_ev_per_atom": -5.59, "lattice_angstrom": [[4.4795, 0.0109, 0.0182], [2.2252, 3.8878, 0.0182], [2.2147, 1.2878, 7.3238]], "species": ["Dy", "Y", "Bi", "Bi"], "fractional_positions": [[0.0000, 0.0000, 0.0000], [0.5000, 0.5000, 0.5000], [0.7498, 0.7498, 0.7507], [0.2502, 0.2502, 0.2493]]}